(1)
TmAlGa3Ni | PBE | optimized geometry

abc: 7.852 7.852 6.550
angles: 90.00 90.00 149.87
Fractional positions:
Tm 0.123 0.877 0.750
Tm 0.877 0.123 0.250
Al 0.500 0.500 0.000
Al 0.500 0.500 0.500
Ga 0.068 0.932 0.250
Ga 0.317 0.683 0.550
Ga 0.317 0.683 0.950
Ga 0.683 0.317 0.050
Ga 0.683 0.317 0.450
Ga 0.932 0.068 0.750
Ni 0.224 0.776 0.250
Ni 0.776 0.224 0.750

Magnetization ... 0.0 μB per formula unit
Distance to the lowest polymorph of the same formula ... 0.024 eV/f.u.

(2)
Li2Cd3Hg | PBE | optimized geometry

abc: 3.453 3.453 9.529
angles: 90.00 90.00 90.00
Fractional positions:
Li 0.000 0.000 0.000
Li 0.500 0.500 0.494
Cd 0.000 0.000 0.338
Cd 0.000 0.000 0.653
Cd 0.500 0.500 0.835
Hg 0.500 0.500 0.148

Total energy ... -1.362 eV per atom